1.
A plane-wave DFT calculation with PBE-GGA was carried out for a relaxed structure of TaMnNbW.

For the density of states at the Fermi level, the calculation gives 0.740 states/eV per atom. The calculation puts the magnetization at 0.000 μB per cell. The energy of formation from the pure elements is -84 meV/atom. The calculated density is 13.41 g cm⁻³.

The structure belongs to space group P4mm (No. 99); the cell edges are 3.1644, 3.1644 and 6.3396 Å and the angles 90.00°, 90.00° and 90.00°. The asymmetric unit holds Ta at (0.0000, 0.0000, 0.0000), Mn at (0.5000, 0.5000, 0.2390), Nb at (0.0000, 0.0000, 0.4802) and W at (0.5000, 0.5000, 0.7398).

=====

2.
A plane-wave DFT calculation with PBE-GGA was carried out for a relaxed structure of TbMnNb.

For the density of states at the Fermi level, the calculation gives 1.327 states/eV per atom. The calculation puts the magnetization at 9.268 μB per cell. The energy of formation from the pure elements is 205 meV/atom. The calculated density is 8.62 g cm⁻³.

The structure belongs to space group Fmmm (No. 69); the cell edges are 5.6762, 8.3647 and 9.9596 Å and the angles 90.00°, 90.00° and 90.00°. The asymmetric unit holds Tb at (0.0000, 0.1780, 0.0000), Mn at (0.2500, 0.2500, 0.2500) and Nb at (0.0000, 0.0000, 0.3240).

=====

3.
A plane-wave DFT calculation with PBE-GGA was carried out for a relaxed structure of Mn8NbTc3.

For the density of states at the Fermi level, the calculation gives 0.762 states/eV per atom. The calculation puts the magnetization at 0.000 μB per cell. The energy of formation from the pure elements is -106 meV/atom. The calculated density is 9.33 g cm⁻³.

The structure belongs to space group P3m1 (No. 156); the cell edges are 4.6880, 4.6880 and 7.7289 Å and the angles 90.00°, 90.00° and 120.00°. The asymmetric unit holds Mn at (0.0000, 0.0000, 0.0000), Mn at (0.0000, 0.0000, 0.5001), Mn at (0.1729, 0.3458, 0.2512), Mn at (0.3447, 0.1723, 0.7452), Nb at (0.6667, 0.3333, 0.0611), Tc at (0.3333, 0.6667, 0.5659), Tc at (0.3333, 0.6667, 0.9249) and Tc at (0.6667, 0.3333, 0.4349).